Al2TlMo after structural relaxation, computed with PBE-GGA.

Summary:
Polymorph energy (0 for the lowest one) (meV per atom): 536.4
Crystal system: tetragonal
Magnetization (μB/cell): 0.917
Calculated formation energy (kJ per mole of atoms): 63
Space-group type: I-42d

Cell lengths 7.6233, 7.6233, 5.6429 Å; angles 90.00, 90.00, 90.00 degrees
With the nearest neighbours (Å) after each atom.
Element x y z (fractional)
Al (0.2122, 0.2500, 0.1250)  2 Mo 2.60, 2 Al 2.88
Al (0.2500, 0.7122, 0.3750)  2 Mo 2.60, 2 Al 2.88
Al (0.2500, 0.7878, 0.8750)  2 Mo 2.60, 2 Al 2.88
Al (0.2878, 0.2500, 0.6250)  2 Mo 2.60, 2 Al 2.88
Al (0.7122, 0.7500, 0.6250)  2 Mo 2.60, 2 Al 2.88
Al (0.7500, 0.2122, 0.8750)  2 Mo 2.60, 2 Al 2.88
Al (0.7500, 0.2878, 0.3750)  2 Mo 2.60, 2 Al 2.88
Al (0.7878, 0.7500, 0.1250)  2 Mo 2.60, 2 Al 2.88
Tl (0.0000, 0.0000, 0.5000)  2 Mo 2.82, 4 Al 2.99
Tl (0.0000, 0.5000, 0.7500)  2 Mo 2.82, 4 Al 2.99
Tl (0.5000, 0.0000, 0.2500)  2 Mo 2.82, 4 Al 2.99
Tl (0.5000, 0.5000, 0.0000)  2 Mo 2.82, 4 Al 2.99
Mo (0.0000, 0.0000, 0.0000)  4 Al 2.60, 2 Tl 2.82
Mo (0.0000, 0.5000, 0.2500)  4 Al 2.60, 2 Tl 2.82
Mo (0.5000, 0.0000, 0.7500)  4 Al 2.60, 2 Tl 2.82
Mo (0.5000, 0.5000, 0.5000)  4 Al 2.60, 2 Tl 2.82

AlTlMo2 after structural relaxation, computed with PBE-GGA.

Summary:
Polymorph energy (0 for the lowest one) (meV per atom): 280.9
Crystal system: cubic
Magnetization (μB/cell): 0.000
Calculated formation energy (kJ per mole of atoms): 48
Space-group type: F-43m

Cell lengths 6.4994, 6.4994, 6.4994 Å; angles 90.00, 90.00, 90.00 degrees
With the nearest neighbours (Å) after each atom.
Element x y z (fractional)
Al (0.0000, 0.0000, 0.0000)  4 Tl 2.81, 4 Mo 2.81
Al (0.0000, 0.5000, 0.5000)  4 Tl 2.81, 4 Mo 2.81
Al (0.5000, 0.0000, 0.5000)  4 Tl 2.81, 4 Mo 2.81
Al (0.5000, 0.5000, 0.0000)  4 Tl 2.81, 4 Mo 2.81
Tl (0.2500, 0.2500, 0.7500)  4 Mo 2.81, 4 Al 2.81
Tl (0.2500, 0.7500, 0.2500)  4 Mo 2.81, 4 Al 2.81
Tl (0.7500, 0.2500, 0.2500)  4 Mo 2.81, 4 Al 2.81
Tl (0.7500, 0.7500, 0.7500)  4 Mo 2.81, 4 Al 2.81
Mo (0.0000, 0.0000, 0.5000)  4 Mo 2.81, 4 Tl 2.81
Mo (0.0000, 0.5000, 0.0000)  4 Mo 2.81, 4 Tl 2.81
Mo (0.2500, 0.2500, 0.2500)  4 Al 2.81, 4 Mo 2.81
Mo (0.2500, 0.7500, 0.7500)  4 Al 2.81, 4 Mo 2.81
Mo (0.5000, 0.0000, 0.0000)  4 Mo 2.81, 4 Tl 2.81
Mo (0.5000, 0.5000, 0.5000)  4 Mo 2.81, 4 Tl 2.81
Mo (0.7500, 0.2500, 0.7500)  4 Al 2.81, 4 Mo 2.81
Mo (0.7500, 0.7500, 0.2500)  4 Al 2.81, 4 Mo 2.81

AlTlMo2 after structural relaxation, computed with PBE-GGA.

Summary:
Polymorph energy (0 for the lowest one) (meV per atom): 301.1
Crystal system: tetragonal
Magnetization (μB/cell): 0.000
Calculated formation energy (kJ per mole of atoms): 50
Space-group type: P4/mmm

Cell lengths 3.9758, 3.9758, 4.3675 Å; angles 90.00, 90.00, 90.00 degrees
With the nearest neighbours (Å) after each atom.
Element x y z (fractional)
Al (0.0000, 0.0000, 0.0000)  4 Tl 2.81, 8 Mo 2.95
Tl (0.5000, 0.5000, 0.0000)  4 Al 2.81, 8 Mo 2.95
Mo (0.0000, 0.5000, 0.5000)  4 Mo 2.81, 4 Tl 2.95, 4 Al 2.95
Mo (0.5000, 0.0000, 0.5000)  4 Mo 2.81, 4 Tl 2.95, 4 Al 2.95

Al2TlMo after structural relaxation, computed with PBE-GGA.

Summary:
Polymorph energy (0 for the lowest one) (meV per atom): 0.0
Crystal system: tetragonal
Magnetization (μB/cell): 0.000
Calculated formation energy (kJ per mole of atoms): 11
Space-group type: P4/mmm

Cell lengths 3.4773, 3.4773, 5.9084 Å; angles 90.00, 90.00, 90.00 degrees
With the nearest neighbours (Å) after each atom.
Element x y z (fractional)
Al (0.0000, 0.0000, 0.2126)  1 Al 2.51, 4 Mo 2.76
Al (0.0000, 0.0000, 0.7874)  1 Al 2.51, 4 Mo 2.76
Tl (0.5000, 0.5000, 0.5000)  2 Mo 2.95, 8 Al 2.99
Mo (0.5000, 0.5000, 0.0000)  8 Al 2.76, 2 Tl 2.95

AlTlMo2 after structural relaxation, computed with PBE-GGA.

Summary:
Polymorph energy (0 for the lowest one) (meV per atom): 251.0
Crystal system: trigonal
Magnetization (μB/cell): 0.000
Calculated formation energy (kJ per mole of atoms): 45
Space-group type: R-3m

Cell lengths 2.9444, 2.9444, 28.1531 Å; angles 90.00, 90.00, 120.00 degrees
With the nearest neighbours (Å) after each atom.
Element x y z (fractional)
Al (0.0000, 0.0000, 0.0000)  6 Mo 2.79, 6 Al 2.94
Al (0.3333, 0.6667, 0.6667)  6 Mo 2.79, 6 Al 2.94
Al (0.6667, 0.3333, 0.3333)  6 Mo 2.79, 6 Al 2.94
Tl (0.0000, 0.0000, 0.5000)  6 Tl 2.94, 6 Mo 3.01
Tl (0.3333, 0.6667, 0.1667)  6 Tl 2.94, 6 Mo 3.01
Tl (0.6667, 0.3333, 0.8333)  6 Tl 2.94, 6 Mo 3.01
Mo (0.0000, 0.0000, 0.2548)  3 Al 2.79, 6 Mo 2.94, 3 Tl 3.01
Mo (0.0000, 0.0000, 0.7452)  3 Al 2.79, 6 Mo 2.94, 3 Tl 3.01
Mo (0.3333, 0.6667, 0.4119)  3 Al 2.79, 6 Mo 2.94, 3 Tl 3.01
Mo (0.3333, 0.6667, 0.9215)  3 Al 2.79, 6 Mo 2.94, 3 Tl 3.01
Mo (0.6667, 0.3333, 0.0785)  3 Al 2.79, 6 Mo 2.94, 3 Tl 3.01
Mo (0.6667, 0.3333, 0.5881)  3 Al 2.79, 6 Mo 2.94, 3 Tl 3.01

Al2TlMo after structural relaxation, computed with PBE-GGA.

Summary:
Polymorph energy (0 for the lowest one) (meV per atom): 208.3
Crystal system: monoclinic
Magnetization (μB/cell): 0.000
Calculated formation energy (kJ per mole of atoms): 31
Space-group type: P2/m

Cell lengths 2.9021, 4.7807, 5.2954 Å; angles 90.00, 94.76, 90.00 degrees
With the nearest neighbours (Å) after each atom.
Element x y z (fractional)
Al (0.1924, 0.0000, 0.2829)  4 Al 2.64-2.90, 2 Mo 2.77, 2 Tl 2.85
Al (0.8076, 0.0000, 0.7171)  4 Al 2.64-2.90, 2 Mo 2.77, 2 Tl 2.85
Tl (0.0000, 0.5000, 0.0000)  4 Al 2.85, 2 Tl 2.90, 4 Mo 2.91-3.12
Mo (0.5000, 0.5000, 0.5000)  4 Al 2.77, 2 Mo 2.90, 2 Tl 2.91

Al2TlMo after structural relaxation, computed with PBE-GGA.

Summary:
Polymorph energy (0 for the lowest one) (meV per atom): 162.7
Crystal system: monoclinic
Magnetization (μB/cell): 0.000
Calculated formation energy (kJ per mole of atoms): 27
Space-group type: C2/m

Cell lengths 9.7918, 2.9202, 5.1132 Å; angles 90.00, 96.68, 90.00 degrees
With the nearest neighbours (Å) after each atom.
Element x y z (fractional)
Al (0.2344, 0.0000, 0.2153)  4 Al 2.69-2.92, 3 Mo 2.83-2.94, 1 Tl 2.86
Al (0.2656, 0.5000, 0.7847)  4 Al 2.69-2.92, 3 Mo 2.83-2.94, 1 Tl 2.86
Al (0.7344, 0.5000, 0.2153)  4 Al 2.69-2.92, 3 Mo 2.83-2.94, 1 Tl 2.86
Al (0.7656, 0.0000, 0.7847)  4 Al 2.69-2.92, 3 Mo 2.83-2.94, 1 Tl 2.86
Tl (0.0000, 0.0000, 0.5000)  6 Al 2.86-3.18, 2 Tl 2.92, 4 Mo 2.94
Tl (0.5000, 0.5000, 0.5000)  6 Al 2.86-3.18, 2 Tl 2.92, 4 Mo 2.94
Mo (0.0000, 0.5000, 0.0000)  6 Al 2.83-2.94, 2 Mo 2.92, 4 Tl 2.94
Mo (0.5000, 0.0000, 0.0000)  6 Al 2.83-2.94, 2 Mo 2.92, 4 Tl 2.94

Al2TlMo after structural relaxation, computed with PBE-GGA.

Summary:
Polymorph energy (0 for the lowest one) (meV per atom): 105.4
Crystal system: tetragonal
Magnetization (μB/cell): 1.647
Calculated formation energy (kJ per mole of atoms): 22
Space-group type: I4/mmm

Cell lengths 4.0509, 4.0509, 8.5651 Å; angles 90.00, 90.00, 90.00 degrees
With the nearest neighbours (Å) after each atom.
Element x y z (fractional)
Al (0.0000, 0.5000, 0.2500)  4 Al 2.86, 4 Tl 2.95, 4 Mo 2.95
Al (0.0000, 0.5000, 0.7500)  4 Al 2.86, 4 Tl 2.95, 4 Mo 2.95
Al (0.5000, 0.0000, 0.2500)  4 Al 2.86, 4 Tl 2.95, 4 Mo 2.95
Al (0.5000, 0.0000, 0.7500)  4 Al 2.86, 4 Tl 2.95, 4 Mo 2.95
Tl (0.0000, 0.0000, 0.0000)  4 Mo 2.86, 8 Al 2.95
Tl (0.5000, 0.5000, 0.5000)  4 Mo 2.86, 8 Al 2.95
Mo (0.0000, 0.0000, 0.5000)  4 Tl 2.86, 8 Al 2.95
Mo (0.5000, 0.5000, 0.0000)  4 Tl 2.86, 8 Al 2.95